1.
This record from the Alexandria database describes a relaxed Te2OsRh crystal. The functional is PBE.

As for the energy above the lowest structure with this stoichiometry: 0.5213 eV per atom. Its uncorrected formation energy is 0.50 eV/atom. As for the density of states at the Fermi level: 3.19 states/eV/f.u.

It has space group Fm-3m (No. 225), with a = 6.685 Å, b = 6.685 Å, c = 6.685 Å, α = 90.00°, β = 90.00° and γ = 90.00°. The asymmetric unit holds Te at (0.250, 0.250, 0.250), Os at (0.000, 0.000, 0.000) and Rh at (0.000, 0.000, 0.500).


2.
This record from the Alexandria database describes a relaxed La2CePdS5 crystal. The functional is PBE.

Its uncorrected formation energy is -1.79 eV/atom. As for the density of states at the Fermi level: 4.65 states/eV/f.u.

It has space group Cmc2_1 (No. 36), with a = 3.992 Å, b = 16.669 Å, c = 12.301 Å, α = 90.00°, β = 90.00° and γ = 90.00°. The asymmetric unit holds La at (0.000, 0.111, 0.000), La at (0.000, 0.119, 0.346), Ce at (0.000, 0.177, 0.675), Pd at (0.000, 0.447, 0.071), S at (0.000, 0.014, 0.670), S at (0.000, 0.303, 0.335), S at (0.000, 0.306, 0.013), S at (0.000, 0.343, 0.671) and S at (0.000, 0.495, 0.393).


3.
This record from the Alexandria database describes a relaxed TiFeW2C crystal. The functional is PBE.

As for the energy above the lowest structure with this stoichiometry: 2.9614 eV per atom. As for the density of states at the Fermi level: 5.78 states/eV/f.u.

It has space group P4/mmm (No. 123), with a = 4.640 Å, b = 4.640 Å, c = 4.033 Å, α = 90.00°, β = 90.00° and γ = 90.00°. The asymmetric unit holds Ti at (0.000, 0.000, 0.000), Fe at (0.000, 0.000, 0.500), W at (0.000, 0.500, 0.000) and C at (0.500, 0.500, 0.500).


4.
This record from the Alexandria database describes a relaxed Ni2RhW crystal. The functional is PBE.

As for the energy above the lowest structure with this stoichiometry: 0.1280 eV per atom. As for the density of states at the Fermi level: 5.28 states/eV/f.u.

It has space group P2/m (No. 10), with a = 2.687 Å, b = 3.716 Å, c = 5.220 Å, α = 90.00°, β = 90.08° and γ = 90.00°. The asymmetric unit holds Ni at (0.000, 0.000, 0.245), Rh at (0.500, 0.500, 0.500) and W at (0.500, 0.500, 0.000).